Computed, not measured: an optimized crystal structure of Ce3Si2Pd3 at the PBE-GGA level of DFT.

Values from the calculation:
ΔE to the lowest computed polymorph   0.0 meV per atom
Theoretical density   7.90 Mg/m³
N(E_F)   1.933 states/eV per atom
Total moment   1.9 μB/f.u.

a b c (Å): 7.905 14.956 5.661
angles (deg): 90.00 90.00 90.00
Space group Pnma (No. 62)
One atom of each set of equivalent atoms:
Ce (0.036, 0.108, 0.138) [8 per cell]
Ce (0.161, 0.250, 0.640) [4 per cell]
Si (0.120, 0.605, 0.356) [8 per cell]
Pd (0.169, 0.034, 0.605) [8 per cell]
Pd (0.188, 0.750, 0.624) [4 per cell]